Record 1
# K7RbO2

An optimized crystal structure of K7RbO2 (PBE, the Alexandria database).

Output
The calculation puts the uncorrected formation energy at -56.7 kJ/mol of atoms.

Unit cell a=5.3326 b=12.0313 c=12.0313 alpha=140.24 beta=90.00 gamma=90.00
Element x y z (fractional)
K1 0.0000 0.7325 0.2675
K2 0.0000 0.2675 0.7325
K3 0.5000 0.0607 0.4086
K4 0.5000 0.9393 0.5914
K5 0.5000 0.4086 0.0607
K6 0.5000 0.5914 0.9393
K7 0.5000 0.5000 0.5000
Rb1 0.0000 0.0000 0.0000
O1 0.5000 0.7446 0.2554
O2 0.5000 0.2554 0.7446

---

Record 2
# KV3Ga

An optimized crystal structure of KV3Ga (PBE, the Alexandria database).

Output
The formation energy comes out at 1.25 eV per atom.

Unit cell a=5.0258 b=5.0258 c=5.0258 alpha=90.00 beta=90.00 gamma=90.00
Last column: magnetic moment on the atom in μB.
Element x y z (fractional)
K1 0.5000 0.5000 0.5000  0.08
Ga1 0.0000 0.0000 0.0000  -0.02
V1 0.0000 0.5000 0.0000  2.73
V2 0.0000 0.0000 0.5000  2.73
V3 0.5000 0.0000 0.0000  2.73

---

Record 3
# La6PrY8

An optimized crystal structure of La6PrY8 (PBE, the Alexandria database).

Output
The formation energy comes out at 0.11 eV per atom.

Unit cell a=9.1540 b=9.1540 c=8.9120 alpha=59.10 beta=59.10 gamma=60.00
Element x y z (fractional)
La1 0.0905 0.5337 0.1390
La2 0.7631 0.9095 0.8610
La3 0.4663 0.7631 0.8610
La4 0.5337 0.2369 0.1390
La5 0.2369 0.0905 0.1390
La6 0.9095 0.4663 0.8610
Pr1 0.0000 0.0000 0.0000
Y1 0.8859 0.3011 0.5823
Y2 0.7693 0.1141 0.4177
Y3 0.6989 0.7693 0.4177
Y4 0.4227 0.4227 0.7320
Y5 0.5773 0.5773 0.2680
Y6 0.3011 0.2307 0.5823
Y7 0.2307 0.8859 0.5823
Y8 0.1141 0.6989 0.4177

---

Which V belongs to each record? In order, 493.7, 126.9, 520.7 Å³/cell.